No. 1
Sb2RhW after structural relaxation. Source: Alexandria via LeMat-Bulk, functional PBE-GGA.

CIF file:
```
data_Sb2RhW
_chemical_formula_sum 'Sb2 Rh1 W1'
_symmetry_space_group_name_H-M 'P 4/m m m'
_symmetry_Int_Tables_number 123
_symmetry_space_group_name_Hall '-P 4 2'
_cell_length_a 3.351
_cell_length_b 3.351
_cell_length_c 6.508
_cell_angle_alpha 90.00
_cell_angle_beta 90.00
_cell_angle_gamma 90.00
loop_
_atom_site_label
_atom_site_fract_x
_atom_site_fract_y
_atom_site_fract_z
_atom_site_occupancy
Sb1 0.000 0.000 0.247 1
Rh1 0.500 0.500 0.500 1
W1 0.500 0.500 0.000 1
```

## Properties
As for the raw formation energy: 0.247 eV per atom. The density of states at the Fermi level is 0.874 states/eV/atom. The crystal system is tetragonal. Its total energy is -6.8899 eV/atom. The calculation puts the polymorph energy (0 for the lowest one) at 0.153 eV/atom.

---

No. 2
SbRhW after structural relaxation. Source: Alexandria via LeMat-Bulk, functional PBE-GGA.

CIF file:
```
data_SbRhW
_chemical_formula_sum 'Sb4 Rh4 W4'
_symmetry_space_group_name_H-M 'F -4 3 m'
_symmetry_Int_Tables_number 216
_symmetry_space_group_name_Hall 'F -4 2 3'
_cell_length_a 6.149
_cell_length_b 6.149
_cell_length_c 6.149
_cell_angle_alpha 90.00
_cell_angle_beta 90.00
_cell_angle_gamma 90.00
loop_
_atom_site_label
_atom_site_fract_x
_atom_site_fract_y
_atom_site_fract_z
_atom_site_occupancy
Sb1 0.000 0.000 0.000 1
Rh1 0.250 0.250 0.750 1
W1 0.000 0.000 0.500 1
```

## Properties
As for the raw formation energy: 0.366 eV per atom. The density of states at the Fermi level is 1.105 states/eV/atom. The crystal system is cubic. Its total energy is -7.7763 eV/atom. The calculation puts the polymorph energy (0 for the lowest one) at 0.166 eV/atom.